The following is a PBE calculation of a geometry-optimized Rh8Pb structure, from Alexandria via LeMat-Bulk.

Cell: 6.2093 6.2093 6.2093 Å, 95.74 95.74 143.11°
Fractional coordinates of all 9 atoms:
Rh 0.0000 0.3388 0.3388
Rh 0.0000 0.6612 0.6612
Rh 0.3249 0.3249 0.6498
Rh 0.3249 0.6751 0.0000
Rh 0.3388 0.0000 0.3388
Rh 0.6612 0.0000 0.6612
Rh 0.6751 0.3249 0.0000
Rh 0.6751 0.6751 0.3502
Pb 0.0000 0.0000 0.0000

- Crystal system: tetragonal
- Total magnetization: 0.0 Bohr magnetons per cell
- N(E_F): 16.449 states/eV/f.u.
- Energy of formation: 82 meV per atom
- Symmetry: I4/mmm (139)
- Final energy: -61.78 eV per cell